# 1
DFT (PBE-GGA) results for an optimized crystal structure of Cd6Ag3Pd.

abc: 7.976 6.687 7.772
angles: 90.00 88.58 90.00
Element x y z (fractional)
Cd1 0.672 0.115 0.942
Cd2 0.674 0.147 0.566
Cd3 0.839 0.295 0.241
Cd4 0.161 0.705 0.759
Cd5 0.326 0.853 0.434
Cd6 0.328 0.885 0.058
Cd7 0.172 0.385 0.442
Cd8 0.174 0.353 0.066
Cd9 0.339 0.205 0.741
Cd10 0.661 0.795 0.259
Cd11 0.826 0.647 0.934
Cd12 0.828 0.615 0.558
Ag1 0.526 0.802 0.742
Ag2 0.500 0.500 0.000
Ag3 0.474 0.198 0.258
Ag4 0.026 0.698 0.242
Ag5 0.000 0.000 0.500
Ag6 0.974 0.302 0.758
Pd1 0.500 0.500 0.500
Pd2 0.000 0.000 0.000

## Properties
Its distance to the lowest polymorph of the same formula is 87.9 meV/atom. The total magnetization comes out at 0.000 μB per atom. The value obtained for the total energy is -1.95 eV per atom. For the formation enthalpy at 0 K, the calculation gives -0.02 eV per atom. Its crystal system is monoclinic. The value obtained for the volume is 20.72 A^3/atom.

# 2
DFT (PBE-GGA) results for an optimized crystal structure of SrMgB.

abc: 3.957 11.247 6.089
angles: 90.00 90.00 90.00
Element x y z (fractional)
Sr1 0.000 0.711 0.500
Sr2 0.000 0.289 0.500
Sr3 0.500 0.211 0.000
Sr4 0.500 0.789 0.000
Mg1 0.000 0.000 0.268
Mg2 0.000 0.000 0.732
Mg3 0.500 0.500 0.768
Mg4 0.500 0.500 0.232
B1 0.000 0.572 0.000
B2 0.000 0.428 0.000
B3 0.500 0.072 0.500
B4 0.500 0.928 0.500

## Properties
Its distance to the lowest polymorph of the same formula is 33.3 meV/atom. The total magnetization comes out at 0.000 μB per atom. The value obtained for the total energy is -3.17 eV per atom. For the formation enthalpy at 0 K, the calculation gives 0.15 eV per atom. Its crystal system is orthorhombic. The value obtained for the volume is 22.58 A^3/atom.

# 3
DFT (PBE-GGA) results for an optimized crystal structure of K2Mg2F5.

abc: 3.970 6.387 6.999
angles: 98.16 90.00 108.11
Element x y z (fractional)
K1 0.377 0.754 0.623
K2 0.623 0.246 0.377
Mg1 0.147 0.294 0.912
Mg2 0.853 0.706 0.088
F1 0.320 0.640 0.013
F2 0.680 0.360 0.987
F3 0.151 0.303 0.639
F4 0.849 0.697 0.361
F5 0.000 0.000 0.000

## Properties
The total magnetization comes out at 0.000 μB per atom. The value obtained for the total energy is -4.48 eV per atom. The formation energy from raw total energies is -2838.5 meV per atom. Its crystal system is monoclinic. The value obtained for the volume is 18.53 A^3/atom.

# 4
DFT (PBE-GGA) results for an optimized crystal structure of NdTiPt3.

abc: 5.912 6.301 6.300
angles: 120.00 90.00 90.00
Element x y z (fractional)
Nd1 0.750 0.667 0.333
Nd2 0.250 0.333 0.667
Ti1 0.000 0.000 0.000
Ti2 0.500 0.000 0.000
Pt1 0.750 0.620 0.810
Pt2 0.250 0.810 0.620
Pt3 0.250 0.380 0.190
Pt4 0.750 0.190 0.380
Pt5 0.250 0.810 0.190
Pt6 0.750 0.190 0.810

## Properties
The total magnetization comes out at 0.000 μB per atom. The value obtained for the total energy is -7.07 eV per atom. For the formation enthalpy at 0 K, the calculation gives -0.91 eV per atom. Its crystal system is hexagonal. The value obtained for the volume is 20.33 A^3/atom.

# 5
DFT (PBE-GGA) results for an optimized crystal structure of Ca2B5H7O13.

abc: 7.018 11.861 12.469
angles: 111.15 90.00 90.00
Element x y z (fractional)
Ca1 0.240 0.008 0.581
Ca2 0.740 0.992 0.919
Ca3 0.760 0.992 0.419
Ca4 0.260 0.008 0.081
Ca5 0.761 0.307 0.380
Ca6 0.261 0.693 0.120
Ca7 0.239 0.693 0.620
Ca8 0.739 0.307 0.880
B1 0.257 0.246 0.353
B2 0.757 0.754 0.147
B3 0.743 0.754 0.647
B4 0.243 0.246 0.853
B5 0.276 0.016 0.328
B6 0.776 0.984 0.172
B7 0.724 0.984 0.672
B8 0.224 0.016 0.828
B9 0.467 0.181 0.479
B10 0.967 0.819 0.021
B11 0.533 0.819 0.521
B12 0.033 0.181 0.979
B13 0.713 0.300 0.628
B14 0.213 0.700 0.872
B15 0.287 0.700 0.372
B16 0.787 0.300 0.128
B17 0.375 0.285 0.688
B18 0.875 0.715 0.812
B19 0.625 0.715 0.312
B20 0.125 0.285 0.188
H1 0.775 0.481 0.652
H2 0.275 0.519 0.848
H3 0.225 0.519 0.348
H4 0.725 0.481 0.152
H5 0.001 0.304 0.700
H6 0.501 0.696 0.800
H7 0.999 0.696 0.300
H8 0.499 0.304 0.200
H9 0.106 0.270 0.499
H10 0.606 0.730 0.001
H11 0.894 0.730 0.501
H12 0.394 0.270 0.999
H13 0.116 0.885 0.356
H14 0.616 0.115 0.144
H15 0.884 0.115 0.644
H16 0.384 0.885 0.856
H17 0.474 0.905 0.220
H18 0.974 0.095 0.280
H19 0.526 0.095 0.780
H20 0.026 0.905 0.720
H21 0.749 0.571 0.463
H22 0.249 0.429 0.037
H23 0.251 0.429 0.537
H24 0.751 0.571 0.963
H25 0.542 0.537 0.414
H26 0.042 0.463 0.086
H27 0.458 0.463 0.586
H28 0.958 0.537 0.914
O1 0.236 0.311 0.772
O2 0.736 0.689 0.728
O3 0.764 0.689 0.228
O4 0.264 0.311 0.272
O5 0.097 0.303 0.438
O6 0.597 0.697 0.062
O7 0.903 0.697 0.562
O8 0.403 0.303 0.938
O9 0.437 0.259 0.413
O10 0.937 0.741 0.087
O11 0.563 0.741 0.587
O12 0.063 0.259 0.913
O13 0.211 0.115 0.290
O14 0.711 0.885 0.210
O15 0.789 0.885 0.710
O16 0.289 0.115 0.790
O17 0.112 0.975 0.386
O18 0.612 0.025 0.114
O19 0.888 0.025 0.614
O20 0.388 0.975 0.886
O21 0.331 0.911 0.223
O22 0.831 0.089 0.277
O23 0.669 0.089 0.777
O24 0.169 0.911 0.723
O25 0.437 0.053 0.409
O26 0.937 0.947 0.091
O27 0.563 0.947 0.591
O28 0.063 0.053 0.909
O29 0.325 0.210 0.578
O30 0.825 0.790 0.922
O31 0.675 0.790 0.422
O32 0.175 0.210 0.078
O33 0.665 0.197 0.522
O34 0.165 0.803 0.978
O35 0.335 0.803 0.478
O36 0.835 0.197 0.022
O37 0.875 0.265 0.686
O38 0.375 0.735 0.814
O39 0.125 0.735 0.314
O40 0.625 0.265 0.186
O41 0.745 0.404 0.592
O42 0.245 0.596 0.908
O43 0.255 0.596 0.408
O44 0.755 0.404 0.092
O45 0.557 0.327 0.716
O46 0.057 0.673 0.784
O47 0.443 0.673 0.284
O48 0.943 0.327 0.216
O49 0.675 0.509 0.401
O50 0.175 0.491 0.099
O51 0.325 0.491 0.599
O52 0.825 0.509 0.901

## Properties
The total magnetization comes out at 0.003 μB per atom. The value obtained for the total energy is -6.70 eV per atom. Its crystal system is monoclinic. The value obtained for the volume is 8.96 A^3/atom.

# 6
DFT (PBE-GGA) results for an optimized crystal structure of Ba3Zr2S2O5.

abc: 4.325 4.325 12.641
angles: 99.85 99.85 90.00
Element x y z (fractional)
Ba1 0.174 0.174 0.348
Ba2 0.826 0.826 0.652
Ba3 0.000 0.000 0.000
Zr1 0.415 0.415 0.830
Zr2 0.585 0.585 0.170
S1 0.693 0.693 0.387
S2 0.307 0.307 0.613
O1 0.585 0.085 0.169
O2 0.415 0.915 0.831
O3 0.085 0.585 0.169
O4 0.915 0.415 0.831
O5 0.500 0.500 0.000

## Properties
The total magnetization comes out at 0.000 μB per atom. The value obtained for the total energy is -7.49 eV per atom. The formation energy from raw total energies is -2830.9 meV per atom. Its crystal system is tetragonal. The value obtained for the volume is 19.12 A^3/atom.

# 7
DFT (PBE-GGA) results for an optimized crystal structure of BaPu2AgSe4.

abc: 4.319 7.434 14.602
angles: 90.00 90.00 106.89
Last column: magnetic moment on the atom in μB.
Element x y z (fractional)
Ba1 0.123 0.246 0.750  0.02
Ba2 0.877 0.754 0.250  0.02
Pu1 0.371 0.742 0.562  5.38
Pu2 0.629 0.258 0.062  5.38
Pu3 0.629 0.258 0.438  5.38
Pu4 0.371 0.742 0.938  5.38
Ag1 0.851 0.702 0.750  0.00
Ag2 0.149 0.298 0.250  0.00
Se1 0.266 0.533 0.109  -0.07
Se2 0.734 0.467 0.609  -0.07
Se3 0.734 0.467 0.891  -0.07
Se4 0.266 0.533 0.391  -0.07
Se5 0.000 0.000 0.500  -0.10
Se6 0.000 0.000 0.000  -0.10
Se7 0.455 0.911 0.750  -0.04
Se8 0.545 0.089 0.250  -0.04

## Properties
The total magnetization comes out at 1.375 μB per atom. The value obtained for the total energy is -7.31 eV per atom. The formation energy from raw total energies is -1391.7 meV per atom. Its crystal system is orthorhombic. The value obtained for the volume is 28.04 A^3/atom.

# 8
DFT (PBE-GGA) results for an optimized crystal structure of RbU2Co2S6.

abc: 7.282 6.417 7.713
angles: 121.00 86.47 64.74
Last column: magnetic moment on the atom in μB.
Element x y z (fractional)
Rb1 0.500 0.000 0.500  0.00
U1 0.828 0.334 0.827  -1.52
U2 0.172 0.666 0.173  -1.52
Co1 0.184 0.873 0.873  1.66
Co2 0.816 0.127 0.127  1.66
S1 0.421 0.801 0.038  0.10
S2 0.978 0.366 0.134  0.12
S3 0.184 0.797 0.557  0.09
S4 0.022 0.634 0.866  0.12
S5 0.816 0.203 0.443  0.09
S6 0.579 0.199 0.962  0.10

## Properties
The total magnetization comes out at 0.091 μB per atom. The value obtained for the total energy is -6.63 eV per atom. The formation energy from raw total energies is -949.2 meV per atom. Its crystal system is triclinic. The value obtained for the volume is 23.67 A^3/atom.